[1]
Computed, not measured: an optimized crystal structure of NdZr2Co at the PBE-GGA level of DFT.

Output
Spin magnetization   0.0 μB per cell
Crystal system   tetragonal
DFT formation energy   0.016 eV/f.u.
Volume   21.9 Å³/atom

Cell: 3.2873 3.2873 8.1150 Å, 90.00 90.00 90.00°
With the nearest neighbours (Å) after each atom.
Space group P4/mmm (No. 123)
Unique sites:
1 Nd 0.0000 0.0000 0.0000 [1 per cell]  4 Nd 3.29, 8 Zr 3.46
2 Zr 0.5000 0.5000 0.3165 [2 per cell]  4 Co 2.76, 1 Zr 2.98
3 Co 0.0000 0.0000 0.5000 [1 per cell]  8 Zr 2.76

[2]
Computed, not measured: an optimized crystal structure of Nd3BiTe3 at the PBE-GGA level of DFT.

Output
Spin magnetization   0.0 μB per cell
Formation energy from raw total energies   -1.225 eV/atom
Crystal system   trigonal
Volume   35.4 Å³/atom

Cell: 9.4548 9.4548 19.2012 Å, 90.00 90.00 120.00°
With the nearest neighbours (Å) after each atom.
Space group R-3 (No. 148, hexagonal axes)
Unique sites:
1 Nd 0.0122 0.3868 0.4202 [18 per cell]  5 Te 3.15-3.43, 2 Bi 3.30-3.36
2 Bi 0.0000 0.0000 0.1604 [6 per cell]  6 Nd 3.30-3.36
3 Te 0.0097 0.2755 0.5905 [18 per cell]  5 Nd 3.15-3.43

The highest volume belongs to which entry? Nd3BiTe3